First-principles (GGA-PBE) data for a relaxed NaCa2Ag3 crystal, as listed in the Alexandria database.

abc: 3.7285 3.7285 10.6558
angles: 90.00 90.00 90.00
With the nearest neighbours (Å) after each atom.
Fractional coordinates of all 6 atoms:
Na 0.0000 0.0000 0.0000  8 Ag 3.13, 2 Ca 3.50
Ca 0.0000 0.0000 0.3287  8 Ag 3.20-3.21, 1 Na 3.50
Ca 0.0000 0.0000 0.6713  8 Ag 3.20-3.21, 1 Na 3.50
Ag 0.5000 0.5000 0.1588  4 Na 3.13, 4 Ca 3.20, 1 Ag 3.38
Ag 0.5000 0.5000 0.5000  8 Ca 3.21
Ag 0.5000 0.5000 0.8412  4 Na 3.13, 4 Ca 3.20, 1 Ag 3.38

**Total moment**: 0.00 μB/f.u.
**DFT formation energy**: -212 meV per atom
**Total DFT energy (no corrections)**: -15.147 eV per cell

***

First-principles (GGA-PBE) data for a relaxed HoAlC crystal, as listed in the Alexandria database.

abc: 4.9498 9.3129 4.7485
angles: 90.00 90.00 90.00
With the nearest neighbours (Å) after each atom.
Fractional coordinates of all 12 atoms:
Ho 0.0000 0.2008 0.2500  4 C 2.48-2.62
Ho 0.0000 0.7992 0.7500  4 C 2.48-2.62
Ho 0.5000 0.2992 0.7500  4 C 2.48-2.62
Ho 0.5000 0.7008 0.2500  4 C 2.48-2.62
Al 0.0000 0.5000 0.0000  2 C 2.05
Al 0.0000 0.5000 0.5000  2 C 2.05
Al 0.5000 0.0000 0.0000  2 C 2.05
Al 0.5000 0.0000 0.5000  2 C 2.05
C 0.0000 0.3205 0.7500  2 Al 2.05
C 0.0000 0.6795 0.2500  2 Al 2.05
C 0.5000 0.1795 0.2500  2 Al 2.05
C 0.5000 0.8205 0.7500  2 Al 2.05

**Total moment**: 0.00 μB/f.u.
**DFT formation energy**: 15 meV per atom
**Total DFT energy (no corrections)**: -69.995 eV per cell